DFT (PBE) results for a relaxed LaPm4Er7 crystal.

The formation enthalpy at 0 K comes out at 0.258 eV/atom.

It has space group C2/m (No. 12), with a = 12.171 Å, b = 5.904 Å, c = 12.720 Å, α = 90.00°, β = 117.93° and γ = 90.00°. The asymmetric unit holds La at (0.000, 0.000, 0.000), Pm at (0.133, 0.500, 0.776), Pm at (0.238, 0.000, 0.675), Er at (0.000, 0.500, 0.000), Er at (0.063, 0.000, 0.325), Er at (0.134, 0.500, 0.500) and Er at (0.211, 0.000, 0.923).

---

DFT (PBE) results for a relaxed KNaBr2 crystal.

Its formation energy without anion corrections is -1.5223 eV/atom.

It has space group Fm-3m (No. 225), with a = 7.785 Å, b = 7.785 Å, c = 7.785 Å, α = 90.00°, β = 90.00° and γ = 90.00°. The asymmetric unit holds K at (0.000, 0.000, 0.000), Na at (0.000, 0.000, 0.500) and Br at (0.250, 0.250, 0.250).

---

DFT (PBE) results for a relaxed NbCrFeCo2 crystal.

The formation enthalpy at 0 K comes out at 1.645 eV/atom.

It has space group P4/mmm (No. 123), with a = 4.429 Å, b = 4.429 Å, c = 4.545 Å, α = 90.00°, β = 90.00° and γ = 90.00°. The asymmetric unit holds Nb at (0.000, 0.000, 0.000), Cr at (0.000, 0.000, 0.500), Fe at (0.500, 0.500, 0.500) and Co at (0.000, 0.500, 0.000).

---

DFT (PBE) results for a relaxed PaNi3Ge2 crystal.

The formation enthalpy at 0 K comes out at -0.354 eV/atom.

It has space group Pmmn (No. 59, origin choice 2), with a = 4.778 Å, b = 9.415 Å, c = 4.112 Å, α = 90.00°, β = 90.00° and γ = 90.00°. The asymmetric unit holds Pa at (0.250, 0.250, 0.243), Ni at (0.250, 0.029, 0.730), Ni at (0.250, 0.750, 0.736) and Ge at (0.250, 0.604, 0.235).

---

DFT (PBE) results for a relaxed PH2 crystal.

For the total energy, the calculation gives -3.621 eV/atom.

It has space group C2/m (No. 12), with a = 4.295 Å, b = 6.879 Å, c = 2.185 Å, α = 90.00°, β = 92.55° and γ = 90.00°. The asymmetric unit holds P at (0.000, 0.000, 0.000) and H at (0.144, 0.500, 0.977).

---

DFT (PBE) results for a relaxed ReSi4As crystal.

Its formation energy without anion corrections is 0.7650 eV/atom.

It has space group F-43m (No. 216), with a = 7.065 Å, b = 7.065 Å, c = 7.065 Å, α = 90.00°, β = 90.00° and γ = 90.00°. The asymmetric unit holds Re at (0.000, 0.000, 0.000), Si at (0.124, 0.124, 0.376) and As at (0.250, 0.250, 0.750).

---

DFT (PBE) results for a relaxed Pr2Dy3Te8 crystal.

Its formation energy without anion corrections is -1.2877 eV/atom.

It has space group C2/m (No. 12), with a = 15.585 Å, b = 8.806 Å, c = 7.599 Å, α = 90.00°, β = 108.56° and γ = 90.00°. The asymmetric unit holds Pr at (0.248, 0.000, 0.169), Dy at (0.000, 0.243, 0.500), Dy at (0.000, 0.500, 0.000), Te at (0.117, 0.253, 0.910), Te at (0.117, 0.500, 0.412) and Te at (0.119, 0.000, 0.415).

---

DFT (PBE) results for a relaxed NdSbH crystal.

For the total energy, the calculation gives -4.799 eV/atom.

It has space group P-6m2 (No. 187), with a = 3.9217 Å, b = 3.9217 Å, c = 4.7968 Å, α = 90.00°, β = 90.00° and γ = 120.00°. The asymmetric unit holds Nd at (0.0000, 0.0000, 0.0000), Sb at (0.3333, 0.6667, 0.5000) and H at (0.6667, 0.3333, 0.0000).